[1]
# BeAlW2 PBE optimized geometry
data_BeAlW2
_chemical_formula_sum 'Be2 Al2 W4'
_space_group_name_H-M_alt 'C m m m'
_space_group_IT_number 65
_space_group_name_Hall '-C 2 2'
_cell_length_a 3.320
_cell_length_b 4.237
_cell_length_c 7.999
_cell_angle_alpha 90.00
_cell_angle_beta 90.00
_cell_angle_gamma 90.00
loop_
_atom_site_label
_atom_site_type_symbol
_atom_site_fract_x
_atom_site_fract_y
_atom_site_fract_z
_atom_site_occupancy
Be1 Be 0.000 0.000 0.000 1
Al1 Al 0.000 0.000 0.500 1
W1 W 0.000 0.500 0.233 1
# VASP energy (eV for the cell shown): -65.8

***

[2]
# HoHg3 PBE optimized geometry
data_HoHg3
_chemical_formula_sum 'Ho2 Hg6'
_space_group_name_H-M_alt 'P m m n'
_space_group_IT_number 59
_cell_length_a 5.123
_cell_length_b 6.766
_cell_length_c 5.502
_cell_angle_alpha 90.00
_cell_angle_beta 90.00
_cell_angle_gamma 90.00
loop_
_space_group_symop_operation_xyz
'x,y,z'
'-x,-y,-z'
'-x+1/2,-y+1/2,z'
'x+1/2,y+1/2,-z'
'x+1/2,-y,-z'
'-x+1/2,y,z'
'-x,y+1/2,-z'
'x,-y+1/2,z'
loop_
_atom_site_label
_atom_site_type_symbol
_atom_site_fract_x
_atom_site_fract_y
_atom_site_fract_z
_atom_site_occupancy
Ho1 Ho 0.250 0.250 0.171 1
Hg1 Hg 0.250 0.501 0.677 1
Hg2 Hg 0.250 0.750 0.176 1
# VASP energy (eV for the cell shown): -13.4